Record 1
# Na3GaF7 PBE relaxed
# VASP energy = -4.270 eV per atom
data_Na3GaF7
_chemical_formula_sum 'Na3 Ga1 F7'
_space_group_name_H-M_alt 'P 1'
_space_group_IT_number 1
_cell_length_a 5.560
_cell_length_b 5.560
_cell_length_c 5.698
_cell_angle_alpha 112.67
_cell_angle_beta 112.67
_cell_angle_gamma 93.35
loop_
_space_group_symop_operation_xyz
'x,y,z'
loop_
_atom_site_label
_atom_site_fract_x
_atom_site_fract_y
_atom_site_fract_z
_atom_site_occupancy
Na1 0.000 0.000 0.000 1
Na2 0.320 0.779 0.484 1
Na3 0.779 0.320 0.484 1
Ga1 0.448 0.448 0.881 1
F1 0.178 0.178 0.503 1
F2 0.183 0.657 0.829 1
F3 0.338 0.338 0.103 1
F4 0.610 0.855 0.279 1
F5 0.629 0.629 0.754 1
F6 0.657 0.183 0.829 1
F7 0.855 0.610 0.279 1



Record 2
# NaGa4F12 PBE relaxed
# VASP energy = -4.637 eV per atom
data_NaGa4F12
_chemical_formula_sum 'Na1 Ga4 F12'
_space_group_name_H-M_alt 'P 1'
_space_group_IT_number 1
_cell_length_a 6.683
_cell_length_b 6.683
_cell_length_c 6.683
_cell_angle_alpha 110.62
_cell_angle_beta 108.90
_cell_angle_gamma 108.90
loop_
_space_group_symop_operation_xyz
'x,y,z'
loop_
_atom_site_label
_atom_site_fract_x
_atom_site_fract_y
_atom_site_fract_z
_atom_site_occupancy
Na1 0.000 0.000 0.000 1
Ga1 0.000 0.000 0.500 1
Ga2 0.000 0.500 0.000 1
Ga3 0.500 0.000 0.000 1
Ga4 0.500 0.500 0.500 1
F1 0.000 0.290 0.710 1
F2 0.000 0.710 0.290 1
F3 0.246 0.045 0.799 1
F4 0.246 0.447 0.201 1
F5 0.247 0.201 0.448 1
F6 0.247 0.799 0.046 1
F7 0.420 0.710 0.710 1
F8 0.580 0.290 0.290 1
F9 0.753 0.201 0.954 1
F10 0.753 0.799 0.552 1
F11 0.754 0.553 0.799 1
F12 0.754 0.955 0.201 1



Record 3
# NaGaF6 PBE relaxed
# VASP energy = -3.806 eV per atom
data_NaGaF6
_chemical_formula_sum 'Na1 Ga1 F6'
_space_group_name_H-M_alt 'P 1'
_space_group_IT_number 1
_cell_length_a 5.935
_cell_length_b 5.935
_cell_length_c 5.935
_cell_angle_alpha 60.00
_cell_angle_beta 60.00
_cell_angle_gamma 60.00
loop_
_space_group_symop_operation_xyz
'x,y,z'
loop_
_atom_site_label
_atom_site_fract_x
_atom_site_fract_y
_atom_site_fract_z
_atom_site_occupancy
Na1 0.000 0.000 0.000 1
Ga1 0.500 0.500 0.500 1
F1 0.274 0.274 0.726 1
F2 0.274 0.726 0.274 1
F3 0.274 0.726 0.726 1
F4 0.726 0.274 0.274 1
F5 0.726 0.274 0.726 1
F6 0.726 0.726 0.274 1



Record 4
# NaGa2F7 PBE relaxed
# VASP energy = -4.603 eV per atom
data_NaGa2F7
_chemical_formula_sum 'Na1 Ga2 F7'
_space_group_name_H-M_alt 'P 1'
_space_group_IT_number 1
_cell_length_a 5.991
_cell_length_b 5.991
_cell_length_c 3.804
_cell_angle_alpha 90.00
_cell_angle_beta 90.00
_cell_angle_gamma 116.72
loop_
_space_group_symop_operation_xyz
'x,y,z'
loop_
_atom_site_label
_atom_site_fract_x
_atom_site_fract_y
_atom_site_fract_z
_atom_site_occupancy
Na1 0.000 0.000 0.000 1
Ga1 0.308 0.692 0.500 1
Ga2 0.692 0.308 0.500 1
F1 0.047 0.331 0.500 1
F2 0.298 0.702 0.000 1
F3 0.331 0.047 0.500 1
F4 0.500 0.500 0.500 1
F5 0.669 0.953 0.500 1
F6 0.702 0.298 0.000 1
F7 0.953 0.669 0.500 1



Record 5
# Na2GaF PBE relaxed
# VASP energy = -2.985 eV per atom
data_Na2GaF
_chemical_formula_sum 'Na4 Ga2 F2'
_space_group_name_H-M_alt 'P 1'
_space_group_IT_number 1
_cell_length_a 6.259
_cell_length_b 6.259
_cell_length_c 6.259
_cell_angle_alpha 115.07
_cell_angle_beta 115.07
_cell_angle_gamma 98.78
loop_
_space_group_symop_operation_xyz
'x,y,z'
loop_
_atom_site_label
_atom_site_fract_x
_atom_site_fract_y
_atom_site_fract_z
_atom_site_occupancy
Na1 0.010 0.625 0.885 1
Na2 0.375 0.260 0.385 1
Na3 0.740 0.125 0.115 1
Na4 0.875 0.990 0.615 1
Ga1 0.250 0.750 0.500 1
Ga2 0.500 0.500 0.000 1
F1 0.000 0.000 0.000 1
F2 0.750 0.250 0.500 1



Record 6
# Na2NdGaF8 PBE relaxed
# VASP energy = -5.239 eV per atom
data_Na2NdGaF8
_chemical_formula_sum 'Na2 Nd1 Ga1 F8'
_space_group_name_H-M_alt 'P 1'
_space_group_IT_number 1
_cell_length_a 4.498
_cell_length_b 7.017
_cell_length_c 5.387
_cell_angle_alpha 90.00
_cell_angle_beta 91.99
_cell_angle_gamma 90.00
loop_
_space_group_symop_operation_xyz
'x,y,z'
loop_
_atom_site_label
_atom_site_fract_x
_atom_site_fract_y
_atom_site_fract_z
_atom_site_occupancy
Na1 0.000 0.230 0.000 1
Na2 0.000 0.770 0.000 1
Nd1 0.500 0.500 0.500 1
Ga1 0.500 0.000 0.500 1
F1 0.086 0.500 0.248 1
F2 0.170 0.000 0.282 1
F3 0.363 0.217 0.705 1
F4 0.363 0.783 0.705 1
F5 0.637 0.217 0.295 1
F6 0.637 0.783 0.295 1
F7 0.830 0.000 0.718 1
F8 0.914 0.500 0.752 1



Which value of VASP energy does entry 3 give?
-3.806 eV per atom